PBE K3YAg, relaxed; E above lowest polymorph = 0 kJ/mol of formula units
1.0
6.4165 0.0000 0.0000
0.0000 6.4165 0.0000
0.0000 0.0000 6.4165
Y K Ag
1 3 1
Direct
0.5000 0.5000 0.5000
0.5000 0.0000 0.0000
0.0000 0.0000 0.5000
0.0000 0.5000 0.0000
0.0000 0.0000 0.0000